# 1
# Er3ThSc7 (PBE-GGA, relaxed)
data_Er3ThSc7
_cell_length_a 6.6175
_cell_length_b 6.6175
_cell_length_c 8.2436
_cell_angle_alpha 90.00
_cell_angle_beta 90.00
_cell_angle_gamma 120.00
_symmetry_space_group_name_H-M 'P 3 m 1'
_symmetry_Int_Tables_number 156
_symmetry_space_group_name_Hall 'P 3 -2"'
loop_
_atom_site_label
_atom_site_type_symbol
_atom_site_fract_x
_atom_site_fract_y
_atom_site_fract_z
Er1 Er 0.0002 0.5001 0.0000
Th1 Th 0.3333 0.6667 0.6569
Sc1 Sc 0.1682 0.3365 0.3386
Sc2 Sc 0.3344 0.1672 0.6540
Sc3 Sc 0.6667 0.3333 0.3348
# size of the total moment: 0.00 μB per formula unit
# formation enthalpy at 0 K: 208 meV per atom

***

# 2
# Pm2ErIr (PBE-GGA, relaxed)
data_Pm2ErIr
_cell_length_a 3.7805
_cell_length_b 3.7805
_cell_length_c 31.8921
_cell_angle_alpha 90.00
_cell_angle_beta 90.00
_cell_angle_gamma 120.00
_symmetry_space_group_name_H-M 'R -3 m'
_symmetry_Int_Tables_number 166
_symmetry_space_group_name_Hall '-R 3 2"'
loop_
_atom_site_label
_atom_site_type_symbol
_atom_site_fract_x
_atom_site_fract_y
_atom_site_fract_z
Pm1 Pm 0.0000 0.0000 0.1114
Er1 Er 0.0000 0.0000 0.0000
Ir1 Ir 0.0000 0.0000 0.5000
# energy above the most stable polymorph in this dataset: 474 meV per atom
# size of the total moment: 0.33 μB per formula unit
# formation enthalpy at 0 K: -36 meV per atom

***

# 3
# Ac4Tb5Y (PBE-GGA, relaxed)
data_Ac4Tb5Y
_cell_length_a 3.801
_cell_length_b 3.801
_cell_length_c 25.420
_cell_angle_alpha 90.00
_cell_angle_beta 90.00
_cell_angle_gamma 90.00
_symmetry_space_group_name_H-M 'P 4/m m m'
_symmetry_Int_Tables_number 123
_symmetry_space_group_name_Hall '-P 4 2'
loop_
_atom_site_label
_atom_site_type_symbol
_atom_site_fract_x
_atom_site_fract_y
_atom_site_fract_z
Ac1 Ac 0.000 0.000 0.101
Ac2 Ac 0.000 0.000 0.305
Tb1 Tb 0.500 0.500 0.000
Tb2 Tb 0.500 0.500 0.203
Tb3 Tb 0.500 0.500 0.408
Y1 Y 0.000 0.000 0.500
# size of the total moment: 0.00 μB per formula unit
# formation enthalpy at 0 K: 53 meV per atom

***

# 4
# DyTm2Tc (PBE-GGA, relaxed)
data_DyTm2Tc
_cell_length_a 3.420
_cell_length_b 3.420
_cell_length_c 8.772
_cell_angle_alpha 90.00
_cell_angle_beta 90.00
_cell_angle_gamma 90.00
_symmetry_space_group_name_H-M 'P 4/m m m'
_symmetry_Int_Tables_number 123
_symmetry_space_group_name_Hall '-P 4 2'
loop_
_atom_site_label
_atom_site_type_symbol
_atom_site_fract_x
_atom_site_fract_y
_atom_site_fract_z
Dy1 Dy 0.000 0.000 0.000
Tm1 Tm 0.500 0.500 0.315
Tc1 Tc 0.000 0.000 0.500
# energy above the most stable polymorph in this dataset: 117 meV per atom
# size of the total moment: 0.00 μB per formula unit
# formation enthalpy at 0 K: -21 meV per atom

***

# 5
# TiNbV2 (PBE-GGA, relaxed)
data_TiNbV2
_cell_length_a 6.916
_cell_length_b 6.916
_cell_length_c 5.394
_cell_angle_alpha 90.00
_cell_angle_beta 90.00
_cell_angle_gamma 90.00
_symmetry_space_group_name_H-M 'I -4 2 d'
_symmetry_Int_Tables_number 122
_symmetry_space_group_name_Hall 'I -4 2bw'
loop_
_atom_site_label
_atom_site_type_symbol
_atom_site_fract_x
_atom_site_fract_y
_atom_site_fract_z
Ti1 Ti 0.000 0.000 0.000
Nb1 Nb 0.000 0.000 0.500
V1 V 0.247 0.250 0.125
# energy above the most stable polymorph in this dataset: 448 meV per atom
# size of the total moment: 0.00 μB per formula unit
# formation enthalpy at 0 K: 515 meV per atom

***

# 6
# NaTcPt (PBE-GGA, relaxed)
data_NaTcPt
_cell_length_a 4.894
_cell_length_b 2.759
_cell_length_c 7.751
_cell_angle_alpha 90.00
_cell_angle_beta 103.86
_cell_angle_gamma 90.00
_symmetry_space_group_name_H-M 'P 1 2/m 1'
_symmetry_Int_Tables_number 10
_symmetry_space_group_name_Hall '-P 2y'
loop_
_atom_site_label
_atom_site_type_symbol
_atom_site_fract_x
_atom_site_fract_y
_atom_site_fract_z
Na1 Na 0.000 0.000 0.000
Na2 Na 0.500 0.500 0.000
Tc1 Tc 0.184 0.000 0.622
Pt1 Pt 0.300 0.500 0.331
# energy above the most stable polymorph in this dataset: 97 meV per atom
# size of the total moment: 0.00 μB per formula unit
# formation enthalpy at 0 K: 145 meV per atom

***

# 7
# TePd2Se (PBE-GGA, relaxed)
data_TePd2Se
_cell_length_a 3.8236
_cell_length_b 3.8236
_cell_length_c 19.4690
_cell_angle_alpha 90.00
_cell_angle_beta 90.00
_cell_angle_gamma 120.00
_symmetry_space_group_name_H-M 'R 3 m'
_symmetry_Int_Tables_number 160
_symmetry_space_group_name_Hall 'R 3 -2"'
loop_
_atom_site_label
_atom_site_type_symbol
_atom_site_fract_x
_atom_site_fract_y
_atom_site_fract_z
Te1 Te 0.0000 0.0000 0.0000
Pd1 Pd 0.0000 0.0000 0.4199
Pd2 Pd 0.0000 0.0000 0.5713
Se1 Se 0.0000 0.0000 0.8263
# energy above the most stable polymorph in this dataset: 46 meV per atom
# formation energy from raw total energies: -0.8 eV per formula unit
# size of the total moment: 0.00 μB per formula unit

***

# 8
# NiSn3Cl (PBE-GGA, relaxed)
data_NiSn3Cl
_cell_length_a 5.290
_cell_length_b 5.290
_cell_length_c 5.290
_cell_angle_alpha 90.00
_cell_angle_beta 90.00
_cell_angle_gamma 90.00
_symmetry_space_group_name_H-M 'P m -3 m'
_symmetry_Int_Tables_number 221
_symmetry_space_group_name_Hall '-P 4 2 3'
loop_
_atom_site_label
_atom_site_type_symbol
_atom_site_fract_x
_atom_site_fract_y
_atom_site_fract_z
Ni1 Ni 0.000 0.000 0.000
Sn1 Sn 0.000 0.500 0.500
Cl1 Cl 0.500 0.500 0.500
# energy above the most stable polymorph in this dataset: 968 meV per atom
# formation energy from raw total energies: 4.4 eV per formula unit
# size of the total moment: 0.00 μB per formula unit

***

no.,calculated volume (Å³ per cell),calculated total energy (eV/atom)
1,313,-5.74
2,395,-5.77
3,367,-4.55
4,103,-6.00
5,258,-8.54
6,102,-5.76
7,247,-4.45
8,148,-3.05